<1>
Density functional theory data (GGA-PBE) for crystalline ZrSe2BrF at its relaxed geometry.

abc: 5.2113 5.2113 5.2809
angles: 90.00 90.00 90.00
Fractional positions:
Zr: 0.0000 0.0000 0.0000
Se: 0.0000 0.5000 0.0000
Se: 0.5000 0.0000 0.0000
Br: 0.0000 0.0000 0.5000
F: 0.5000 0.5000 0.5000

Space group: P4/mmm (123)
Total magnetization (Bohr magnetons per cell): 1.490

<2>
Density functional theory data (GGA-PBE) for crystalline ZrSe2BrF at its relaxed geometry.

abc: 4.4155 4.4155 5.2884
angles: 90.00 90.00 90.00
Fractional positions:
Zr: 0.0000 0.0000 0.0000
Se: 0.0000 0.5000 0.5000
Se: 0.5000 0.0000 0.5000
Br: 0.5000 0.5000 0.0000
F: 0.5000 0.5000 0.5000

Space group: P4/mmm (123)
Total magnetization (Bohr magnetons per cell): 0.000

Stability check: which of them is least stable? <2>.

<1>
Density functional theory data (GGA-PBE) for crystalline ZrSeBr2F at its relaxed geometry.

abc: 5.2786 5.2786 3.9272
angles: 90.00 90.00 90.00
Fractional positions:
Zr: 0.0000 0.0000 0.0000
Se: 0.5000 0.5000 0.0000
Br: 0.0000 0.5000 0.5000
Br: 0.5000 0.0000 0.5000
F: 0.5000 0.5000 0.5000

Space group: P4/mmm (123)
Total magnetization (Bohr magnetons per cell): 0.000

<2>
Density functional theory data (GGA-PBE) for crystalline ZrSeBr2F at its relaxed geometry.

abc: 5.2852 5.2852 5.2078
angles: 90.00 90.00 90.00
Fractional positions:
Zr: 0.0000 0.0000 0.0000
Se: 0.0000 0.0000 0.5000
Br: 0.0000 0.5000 0.0000
Br: 0.5000 0.0000 0.0000
F: 0.5000 0.5000 0.5000

Space group: P4/mmm (123)
Total magnetization (Bohr magnetons per cell): 0.993

Stability check: which of them is least stable? <1>.

<1>
Density functional theory data (GGA-PBE) for crystalline TlSiTeBrF at its relaxed geometry.

abc: 3.8826 5.9484 6.6428
angles: 78.31 82.37 88.94
Fractional positions:
Tl: 0.0000 0.0000 0.0000
Si: 0.1551 0.2604 0.3957
Te: 0.6101 0.9826 0.5562
Br: 0.4803 0.5234 0.0819
F: 0.0878 0.4623 0.5316

Space group: P1 (1)
Total magnetization (Bohr magnetons per cell): 0.000

<2>
Density functional theory data (GGA-PBE) for crystalline TlSiTeBrF at its relaxed geometry.

abc: 3.8976 4.8861 7.8001
angles: 89.38 83.91 89.80
Fractional positions:
Tl: 0.0000 0.0000 0.0000
Si: 0.8867 0.3840 0.4603
Te: 0.4510 0.4711 0.2314
Br: 0.5847 0.4648 0.7527
F: 0.9082 0.0491 0.4833

Space group: P1 (1)
Total magnetization (Bohr magnetons per cell): 0.000

Stability check: which of them is least stable? <1>.